(1)
A geometry-optimized PrAl2Zn4Au structure, computed with PBE.

Summary:
DOS at the Fermi energy ... 2.888 states/eV/cell
Crystal system ... trigonal
Total magnetization ... 0.0000 μB/atom
E ... -2.800 eV/atom
Formation enthalpy at 0 K ... -219.9 meV per atom
Mass density ... 7.26 g cm⁻³

```
PrAl2Zn4Au
1.0
-3.717 -0.128 2.310
-0.198 -2.329 3.702
1.355 6.393 6.683
Pr Al Zn Au
1 2 4 1
Cartesian
0.000 0.000 0.000
-1.911 2.977 9.537
-0.649 0.959 3.158
-0.486 4.122 7.745
-2.910 0.268 7.780
0.350 3.667 4.915
-2.074 -0.186 4.950
-1.280 1.968 6.348
```


(2)
A geometry-optimized Ga2CuBr6 structure, computed with PBE.

Summary:
Formation energy from raw total energies ... -5.30 eV per formula unit
DOS at the Fermi energy ... 4.195 states/eV/cell
Crystal system ... monoclinic
Total magnetization ... 0.0000 μB/atom
E ... -2.832 eV/atom
Mass density ... 3.02 g cm⁻³

```
Ga2CuBr6
1.0
-3.465 -1.973 -5.551
-4.296 -8.650 4.317
-9.217 4.405 2.749
Ga Cu Br
4 2 12
Cartesian
-9.019 -1.817 2.683
-7.048 -1.235 1.346
-7.959 -4.400 -1.167
-9.930 -4.982 0.169
-10.081 3.907 1.362
-6.897 -10.124 0.154
-9.570 -4.278 2.581
-5.036 -2.649 1.914
-7.407 -1.939 -1.065
-11.942 -3.568 -0.398
-10.673 -7.156 0.394
-5.964 -5.548 -0.993
-6.305 0.940 1.122
-11.014 -0.668 2.509
-12.195 -3.831 6.098
-3.072 -1.343 -1.814
-4.783 -2.386 -4.583
-13.906 -4.874 3.330
```


(3)
A geometry-optimized LiOs2Cl structure, computed with PBE.

Summary:
Formation energy from raw total energies ... 0.52 eV per formula unit
DOS at the Fermi energy ... 2.477 states/eV/cell
Crystal system ... orthorhombic
Total magnetization ... 0.0000 μB/atom
E ... -6.425 eV/atom
Relative energy among the computed polymorphs ... 0.0077 eV/atom
Mass density ... 9.85 g cm⁻³

```
LiOs2Cl
1.0
-0.387 -0.195 2.825
0.081 -3.561 -0.235
6.922 0.094 0.954
Cl Li Os
1 1 2
Cartesian
4.370 0.060 0.602
4.846 -1.810 1.984
6.892 0.094 0.950
0.891 -1.864 1.439
```


(4)
A geometry-optimized TmNiRh structure, computed with PBE.

Summary:
DOS at the Fermi energy ... 1.308 states/eV/cell
Crystal system ... hexagonal
Total magnetization ... 0.0000 μB/atom
E ... -6.435 eV/atom
Formation enthalpy at 0 K ... -566.9 meV per atom
Mass density ... 10.25 g cm⁻³

```
TmNiRh
1.0
-3.140 -0.310 1.833
-1.842 -1.424 -3.396
1.790 -2.620 2.624
Ni Tm Rh
1 1 1
Cartesian
-0.523 -0.052 0.305
-2.724 -2.029 -0.167
0.056 -2.273 0.923
```


(5)
A geometry-optimized In3MoRh structure, computed with PBE.

Summary:
DOS at the Fermi energy ... 4.470 states/eV/cell
Crystal system ... cubic
Total magnetization ... 0.4018 μB/atom
E ... -4.188 eV/atom
Relative energy among the computed polymorphs ... 0.3927 eV/atom
Formation enthalpy at 0 K ... 1091.6 meV per atom
Mass density ... 6.46 g cm⁻³

```
In3MoRh
1.0
5.188 0.000 0.000
0.000 5.188 0.000
0.000 0.000 5.188
Mo Rh In
1 1 3
Cartesian
0.000 0.000 0.000
2.594 2.594 2.594
0.000 2.594 0.000
0.000 0.000 2.594
2.594 0.000 0.000
```


(6)
A geometry-optimized KBSCl2 structure, computed with PBE.

Summary:
Formation energy from raw total energies ... 5.20 eV per formula unit
DOS at the Fermi energy ... 4.980 states/eV/cell
Crystal system ... tetragonal
Total magnetization ... 0.4065 μB/atom
E ... -2.079 eV/atom
Relative energy among the computed polymorphs ... 1.3906 eV/atom
Mass density ... 1.28 g cm⁻³

```
KBSCl2
1.0
-3.557 -2.242 -4.046
4.625 -1.604 -3.176
0.108 -5.121 2.743
K B S Cl
1 1 1 2
Cartesian
0.000 0.000 0.000
0.588 -4.484 -2.240
0.054 -2.561 1.371
2.312 -0.802 -1.588
-1.778 -1.121 -2.023
```


(7)
A geometry-optimized LiCd3Sn structure, computed with PBE.

Summary:
DOS at the Fermi energy ... 2.694 states/eV/cell
Crystal system ... monoclinic
Total magnetization ... 0.0000 μB/atom
E ... -1.800 eV/atom
Relative energy among the computed polymorphs ... 0.0000 eV/atom
Formation enthalpy at 0 K ... -67.7 meV per atom
Mass density ... 6.62 g cm⁻³

```
LiCd3Sn
1.0
-1.687 3.674 -2.974
-4.762 -0.361 2.255
-1.934 7.509 6.137
Li Cd Sn
2 6 2
Cartesian
-4.656 4.958 0.295
-3.727 5.864 5.122
-2.591 4.064 -1.980
-5.792 6.758 7.398
-4.529 3.768 2.989
-3.854 7.054 2.429
-1.721 5.082 3.019
-6.662 5.740 2.399
-5.567 8.094 4.686
-2.815 2.727 0.731
```


(8)
A geometry-optimized NbAlAs structure, computed with PBE.

Summary:
DOS at the Fermi energy ... 4.230 states/eV/cell
Crystal system ... monoclinic
Total magnetization ... 0.0000 μB/atom
E ... -6.540 eV/atom
Formation enthalpy at 0 K ... -386.0 meV per atom
Mass density ... 6.21 g cm⁻³

```
NbAlAs
1.0
-2.312 -5.788 -3.034
1.658 0.838 -2.863
8.300 -1.369 4.407
Nb As Al
4 4 4
Cartesian
4.300 -5.380 0.915
0.979 -4.277 -2.720
0.662 -0.408 0.264
5.641 -0.674 1.036
1.941 -4.942 -0.323
6.920 -5.208 0.449
-0.377 -2.645 -0.993
4.602 -2.911 -0.221
2.945 -1.164 1.365
7.924 -1.429 2.137
5.608 -3.163 2.322
2.287 -2.059 -1.313
```


(9)
A geometry-optimized Ge3Rh structure, computed with PBE.

Summary:
DOS at the Fermi energy ... 2.221 states/eV/cell
Crystal system ... tetragonal
Total magnetization ... 0.0000 μB/atom
E ... -5.218 eV/atom
Formation enthalpy at 0 K ... 82.8 meV per atom
Mass density ... 7.98 g cm⁻³

```
Ge3Rh
1.0
-4.448 1.524 -0.157
-0.736 -0.346 -4.634
1.597 -3.453 2.767
Ge Rh
3 1
Cartesian
-2.721 -0.670 0.107
-0.865 -1.605 -2.131
-2.592 0.589 -2.396
0.000 0.000 0.000
```